The following is a DFT calculation (GGA-PBE) of crystalline Er2NbS6 at its relaxed geometry.

```
Er2NbS6
1.0
6.197 0.000 0.000
0.000 6.197 0.000
0.000 0.000 11.573
Er Nb S
4 2 12
Cartesian
0.000 0.000 1.972
0.000 0.000 9.601
3.099 3.099 3.815
3.099 3.099 7.758
0.000 0.000 5.786
3.099 3.099 0.000
1.205 1.205 4.046
1.205 1.205 7.527
1.319 1.319 0.000
1.780 4.417 5.786
1.894 4.303 1.740
1.894 4.303 9.832
4.303 1.894 1.740
4.303 1.894 9.832
4.417 1.780 5.786
4.879 4.879 0.000
4.993 4.993 4.046
4.993 4.993 7.527
```

Values from the calculation:
For the total magnetic moment, the calculation gives 0.00 μB/atom. Its crystal system is tetragonal. The calculation puts the formation energy from raw total energies at -1.269 eV per atom.